CuNiAu2O6 after structural relaxation. Source: the Alexandria database, functional PBE with a Hubbard U.

Unit cell a=5.4503 b=6.7380 c=6.7380 alpha=80.95 beta=99.42 gamma=99.42
Closest atoms and distances in Å follow each position.
Positions (direct):
Cu: 0.2500 0.9235 0.0765  4 O 1.89-1.93
Cu: 0.7500 0.0765 0.9235  4 O 1.89-1.93
Ni: 0.2500 0.2754 0.7246  4 O 1.95-2.10
Ni: 0.7500 0.7246 0.2754  4 O 1.95-2.10
Au: 0.2607 0.8811 0.5907  4 O 1.97-2.10
Au: 0.2393 0.4093 0.1189  4 O 1.97-2.10
Au: 0.7393 0.1189 0.4093  4 O 1.97-2.10
Au: 0.7607 0.5907 0.8811  4 O 1.97-2.10
O: 0.0954 0.9725 0.8048  1 Cu 1.89, 1 Au 2.04, 1 Ni 2.10
O: 0.4046 0.1952 0.0275  1 Cu 1.89, 1 Au 2.04, 1 Ni 2.10
O: 0.9046 0.0275 0.1952  1 Cu 1.89, 1 Au 2.04, 1 Ni 2.10
O: 0.5954 0.8048 0.9725  1 Cu 1.89, 1 Au 2.04, 1 Ni 2.10
O: 0.4474 0.8837 0.3414  1 Cu 1.93, 2 Au 2.10
O: 0.0526 0.6586 0.1163  1 Cu 1.93, 2 Au 2.10
O: 0.5526 0.1163 0.6586  1 Cu 1.93, 2 Au 2.10
O: 0.9474 0.3414 0.8837  1 Cu 1.93, 2 Au 2.10
O: 0.9626 0.6778 0.5359  1 Ni 1.95, 1 Au 1.97
O: 0.5374 0.4641 0.3222  1 Ni 1.95, 1 Au 1.97
O: 0.0374 0.3222 0.4641  1 Ni 1.95, 1 Au 1.97
O: 0.4626 0.5359 0.6778  1 Ni 1.95, 1 Au 1.97

Energy: -4.47 eV per atom
Spin magnetization: 0.2908 μB per atom
Volume: 11.932 A^3/atom
Symmetry: C2/c (15)